! HoTlZn2, relaxed, DFT GGA-PBE; values from VASP
&SYSTEM
  ibrav = 0, nat = 4, ntyp = 3
/
ATOMIC_SPECIES
Zn 65.41 Zn.upf
Ho 164.93 Ho.upf
Tl 204.38 Tl.upf
CELL_PARAMETERS angstrom
4.136 0.000 0.000
0.000 4.551 0.000
0.000 0.000 4.551
ATOMIC_POSITIONS crystal
Zn 0.000 0.500 0.000
Zn 0.000 0.000 0.500
Ho 0.500 0.500 0.500
Tl 0.500 0.000 0.000
! total DFT energy (no corrections) = -0.1890 Ry per atom
! E_form = -199 meV/atom
! ρ = 9696 kg/m3